1.
Density functional theory data (PBE) for a geometry-optimized MoIrN2 structure.

Cell lengths 4.2183, 4.2183, 10.9512 Å; angles 90.00, 90.00, 90.00 degrees
Sites, in units of the cell vectors:
Mo 0.0000 0.0000 0.0000
Mo 0.0000 0.5000 0.2500
Mo 0.5000 0.0000 0.7500
Mo 0.5000 0.5000 0.5000
Ir 0.0000 0.0000 0.5000
Ir 0.0000 0.5000 0.7500
Ir 0.5000 0.0000 0.2500
Ir 0.5000 0.5000 0.0000
N 0.2366 0.2500 0.1250
N 0.2500 0.7366 0.3750
N 0.2500 0.7634 0.8750
N 0.2634 0.2500 0.6250
N 0.7366 0.7500 0.6250
N 0.7500 0.2366 0.8750
N 0.7500 0.2634 0.3750
N 0.7634 0.7500 0.1250

Summary:
Fermi-level density of states	2.5	states/eV/f.u.
uncorrected formation energy	231	meV per atom

---

2.
Density functional theory data (PBE) for a geometry-optimized ErMgGa2Pd4 structure.

Cell lengths 7.8342, 7.8342, 7.8342 Å; angles 33.84, 33.84, 33.84 degrees
Sites, in units of the cell vectors:
Er 0.0000 0.0000 0.0000
Mg 0.5000 0.5000 0.5000
Ga 0.2491 0.2491 0.2491
Ga 0.7509 0.7509 0.7509
Pd 0.1281 0.1281 0.1281
Pd 0.3797 0.3797 0.3797
Pd 0.6203 0.6203 0.6203
Pd 0.8719 0.8719 0.8719

Summary:
Fermi-level density of states	3.9	states/eV/f.u.
energy relative to the elements	-73.1	kJ/mol of atoms

---

3.
Density functional theory data (PBE) for a geometry-optimized YAuC structure.

Cell lengths 3.6306, 4.0849, 8.8296 Å; angles 99.74, 90.18, 116.09 degrees
Sites, in units of the cell vectors:
Y 0.1001 0.2031 0.3317
Y 0.8999 0.7969 0.6683
Au 0.3667 0.7344 0.0973
Au 0.6333 0.2656 0.9027
C 0.4116 0.8243 0.4640
C 0.5884 0.1757 0.5360

Summary:
Fermi-level density of states	1.5	states/eV/f.u.
energy relative to the elements	-34.1	kJ/mol of atoms

---

4.
Density functional theory data (PBE) for a geometry-optimized HfTeCSe2 structure.

Cell lengths 4.4810, 4.4810, 4.6265 Å; angles 90.00, 90.00, 90.00 degrees
Sites, in units of the cell vectors:
Hf 0.0000 0.0000 0.0000
Te 0.5000 0.5000 0.0000
C 0.5000 0.5000 0.5000
Se 0.0000 0.5000 0.5000
Se 0.5000 0.0000 0.5000

Summary:
Fermi-level density of states	1.7	states/eV/f.u.
uncorrected formation energy	692	meV per atom

---

5.
Density functional theory data (PBE) for a geometry-optimized Mg2Cd8Hg structure.

Cell lengths 4.6057, 4.6057, 12.0507 Å; angles 90.00, 90.00, 90.00 degrees
Sites, in units of the cell vectors:
Mg 0.0000 0.0000 0.1734
Mg 0.0000 0.0000 0.8266
Cd 0.0000 0.5000 0.0000
Cd 0.0000 0.5000 0.3479
Cd 0.0000 0.5000 0.6521
Cd 0.5000 0.0000 0.0000
Cd 0.5000 0.0000 0.3479
Cd 0.5000 0.0000 0.6521
Cd 0.5000 0.5000 0.1754
Cd 0.5000 0.5000 0.8246
Hg 0.0000 0.0000 0.5000

Summary:
Fermi-level density of states	3.3	states/eV/f.u.
energy relative to the elements	-1.9	kJ/mol of atoms

---

6.
Density functional theory data (PBE) for a geometry-optimized YEr4Cd3 structure.

Cell lengths 9.4759, 9.4759, 9.4759 Å; angles 32.45, 32.45, 32.45 degrees
Sites, in units of the cell vectors:
Y 0.0000 0.0000 0.0000
Er 0.1298 0.1298 0.1298
Er 0.3872 0.3872 0.3872
Er 0.6128 0.6128 0.6128
Er 0.8702 0.8702 0.8702
Cd 0.2604 0.2604 0.2604
Cd 0.5000 0.5000 0.5000
Cd 0.7396 0.7396 0.7396

Summary:
Fermi-level density of states	8.4	states/eV/f.u.
energy relative to the elements	-16.0	kJ/mol of atoms